# 1
First-principles (PBE) data for a relaxed structure of TaAsSeBr2, as listed in the Alexandria database.

Cell and atoms, written as CIF:
```
data_TaAsSeBr2
_cell_length_a 5.2139
_cell_length_b 5.2139
_cell_length_c 5.0370
_cell_angle_alpha 90.00
_cell_angle_beta 90.00
_cell_angle_gamma 90.00
_space_group_name_H-M_alt 'P 4/m m m'
_space_group_IT_number 123
_space_group_name_Hall '-P 4 2'
loop_
_atom_site_label
_atom_site_type_symbol
_atom_site_fract_x
_atom_site_fract_y
_atom_site_fract_z
Ta1 Ta 0.0000 0.0000 0.0000
As1 As 0.5000 0.5000 0.5000
Se1 Se 0.0000 0.0000 0.5000
Br1 Br 0.0000 0.5000 0.0000
```

## Properties
ΔE to the lowest computed polymorph: 0 meV per atom

***

# 2
First-principles (PBE) data for a relaxed structure of TaAsSeBr2, as listed in the Alexandria database.

Cell and atoms, written as CIF:
```
data_TaAsSeBr2
_cell_length_a 4.9523
_cell_length_b 4.9523
_cell_length_c 5.3232
_cell_angle_alpha 90.00
_cell_angle_beta 90.00
_cell_angle_gamma 90.00
_space_group_name_H-M_alt 'P 4/m m m'
_space_group_IT_number 123
_space_group_name_Hall '-P 4 2'
loop_
_atom_site_label
_atom_site_type_symbol
_atom_site_fract_x
_atom_site_fract_y
_atom_site_fract_z
Ta1 Ta 0.0000 0.0000 0.0000
As1 As 0.0000 0.0000 0.5000
Se1 Se 0.5000 0.5000 0.5000
Br1 Br 0.0000 0.5000 0.0000
```

## Properties
ΔE to the lowest computed polymorph: 36 meV per atom

***

# 3
First-principles (PBE) data for a relaxed structure of TaAsSeBr2, as listed in the Alexandria database.

Cell and atoms, written as CIF:
```
data_TaAsSeBr2
_cell_length_a 5.0439
_cell_length_b 5.0439
_cell_length_c 5.3609
_cell_angle_alpha 90.00
_cell_angle_beta 90.00
_cell_angle_gamma 90.00
_space_group_name_H-M_alt 'P 4/m m m'
_space_group_IT_number 123
_space_group_name_Hall '-P 4 2'
loop_
_atom_site_label
_atom_site_type_symbol
_atom_site_fract_x
_atom_site_fract_y
_atom_site_fract_z
Ta1 Ta 0.0000 0.0000 0.0000
As1 As 0.5000 0.5000 0.0000
Se1 Se 0.5000 0.5000 0.5000
Br1 Br 0.0000 0.5000 0.5000
```

## Properties
ΔE to the lowest computed polymorph: 1053 meV per atom

***

# 4
First-principles (PBE) data for a relaxed structure of Tb4AsSe2Br, as listed in the Alexandria database.

Cell and atoms, written as CIF:
```
data_Tb4AsSe2Br
_cell_length_a 7.1348
_cell_length_b 4.1468
_cell_length_c 7.2010
_cell_angle_alpha 90.00
_cell_angle_beta 109.57
_cell_angle_gamma 90.00
_space_group_name_H-M_alt 'P 1 2/m 1'
_space_group_IT_number 10
_space_group_name_Hall '-P 2y'
loop_
_atom_site_label
_atom_site_type_symbol
_atom_site_fract_x
_atom_site_fract_y
_atom_site_fract_z
Tb1 Tb 0.2276 0.0000 0.2181
Tb2 Tb 0.2465 0.5000 0.7730
As1 As 0.5000 0.0000 0.0000
Se1 Se 0.0000 0.0000 0.5000
Se2 Se 0.0000 0.5000 0.0000
Br1 Br 0.5000 0.5000 0.5000
```

***

# 5
First-principles (PBE) data for a relaxed structure of Tb6As2Se3Br, as listed in the Alexandria database.

Cell and atoms, written as CIF:
```
data_Tb6As2Se3Br
_cell_length_a 17.9973
_cell_length_b 4.1226
_cell_length_c 8.2710
_cell_angle_alpha 90.00
_cell_angle_beta 102.67
_cell_angle_gamma 90.00
_space_group_name_H-M_alt 'C 1 2/m 1'
_space_group_IT_number 12
_space_group_name_Hall '-C 2y'
loop_
_atom_site_label
_atom_site_type_symbol
_atom_site_fract_x
_atom_site_fract_y
_atom_site_fract_z
Tb1 Tb 0.0057 0.0000 0.2782
Tb2 Tb 0.1697 0.5000 0.5782
Tb3 Tb 0.1798 0.5000 0.1000
As1 As 0.1664 0.0000 0.3314
Se1 Se 0.0000 0.5000 0.5000
Se2 Se 0.1587 0.0000 0.8348
Br1 Br 0.0000 0.5000 0.0000
```

***

# 6
First-principles (PBE) data for a relaxed structure of TcAsSe2Br, as listed in the Alexandria database.

Cell and atoms, written as CIF:
```
data_TcAsSe2Br
_cell_length_a 5.1140
_cell_length_b 5.1140
_cell_length_c 5.1032
_cell_angle_alpha 90.00
_cell_angle_beta 90.00
_cell_angle_gamma 90.00
_space_group_name_H-M_alt 'P 4/m m m'
_space_group_IT_number 123
_space_group_name_Hall '-P 4 2'
loop_
_atom_site_label
_atom_site_type_symbol
_atom_site_fract_x
_atom_site_fract_y
_atom_site_fract_z
Tc1 Tc 0.0000 0.0000 0.0000
As1 As 0.5000 0.5000 0.0000
Se1 Se 0.0000 0.5000 0.5000
Br1 Br 0.5000 0.5000 0.5000
```

## Properties
ΔE to the lowest computed polymorph: 1248 meV per atom

***

# 7
First-principles (PBE) data for a relaxed structure of TcAsSe2Br, as listed in the Alexandria database.

Cell and atoms, written as CIF:
```
data_TcAsSe2Br
_cell_length_a 4.8104
_cell_length_b 4.8104
_cell_length_c 5.0667
_cell_angle_alpha 90.00
_cell_angle_beta 90.00
_cell_angle_gamma 90.00
_space_group_name_H-M_alt 'P 4/m m m'
_space_group_IT_number 123
_space_group_name_Hall '-P 4 2'
loop_
_atom_site_label
_atom_site_type_symbol
_atom_site_fract_x
_atom_site_fract_y
_atom_site_fract_z
Tc1 Tc 0.0000 0.0000 0.0000
As1 As 0.0000 0.0000 0.5000
Se1 Se 0.0000 0.5000 0.0000
Br1 Br 0.5000 0.5000 0.5000
```

## Properties
ΔE to the lowest computed polymorph: 0 meV per atom

***

# 8
First-principles (PBE) data for a relaxed structure of TcAsSeBr2, as listed in the Alexandria database.

Cell and atoms, written as CIF:
```
data_TcAsSeBr2
_cell_length_a 5.0821
_cell_length_b 5.0821
_cell_length_c 4.7839
_cell_angle_alpha 90.00
_cell_angle_beta 90.00
_cell_angle_gamma 90.00
_space_group_name_H-M_alt 'P 4/m m m'
_space_group_IT_number 123
_space_group_name_Hall '-P 4 2'
loop_
_atom_site_label
_atom_site_type_symbol
_atom_site_fract_x
_atom_site_fract_y
_atom_site_fract_z
Tc1 Tc 0.0000 0.0000 0.0000
As1 As 0.5000 0.5000 0.5000
Se1 Se 0.0000 0.0000 0.5000
Br1 Br 0.0000 0.5000 0.0000
```

## Properties
ΔE to the lowest computed polymorph: 39 meV per atom

***

# 9
First-principles (PBE) data for a relaxed structure of TcAsSeBr2, as listed in the Alexandria database.

Cell and atoms, written as CIF:
```
data_TcAsSeBr2
_cell_length_a 5.1419
_cell_length_b 5.1419
_cell_length_c 5.4227
_cell_angle_alpha 90.00
_cell_angle_beta 90.00
_cell_angle_gamma 90.00
_space_group_name_H-M_alt 'P 4/m m m'
_space_group_IT_number 123
_space_group_name_Hall '-P 4 2'
loop_
_atom_site_label
_atom_site_type_symbol
_atom_site_fract_x
_atom_site_fract_y
_atom_site_fract_z
Tc1 Tc 0.0000 0.0000 0.0000
As1 As 0.5000 0.5000 0.0000
Se1 Se 0.5000 0.5000 0.5000
Br1 Br 0.0000 0.5000 0.5000
```

## Properties
ΔE to the lowest computed polymorph: 629 meV per atom

***

# 10
First-principles (PBE) data for a relaxed structure of TcAsSe2Br, as listed in the Alexandria database.

Cell and atoms, written as CIF:
```
data_TcAsSe2Br
_cell_length_a 4.8324
_cell_length_b 4.8324
_cell_length_c 5.0752
_cell_angle_alpha 90.00
_cell_angle_beta 90.00
_cell_angle_gamma 90.00
_space_group_name_H-M_alt 'P 4/m m m'
_space_group_IT_number 123
_space_group_name_Hall '-P 4 2'
loop_
_atom_site_label
_atom_site_type_symbol
_atom_site_fract_x
_atom_site_fract_y
_atom_site_fract_z
Tc1 Tc 0.0000 0.0000 0.0000
As1 As 0.5000 0.5000 0.5000
Se1 Se 0.0000 0.5000 0.0000
Br1 Br 0.0000 0.0000 0.5000
```

## Properties
ΔE to the lowest computed polymorph: 239 meV per atom

***

# 11
First-principles (PBE) data for a relaxed structure of TcAsSe2Br, as listed in the Alexandria database.

Cell and atoms, written as CIF:
```
data_TcAsSe2Br
_cell_length_a 5.1268
_cell_length_b 5.1268
_cell_length_c 5.0767
_cell_angle_alpha 90.00
_cell_angle_beta 90.00
_cell_angle_gamma 90.00
_space_group_name_H-M_alt 'P 4/m m m'
_space_group_IT_number 123
_space_group_name_Hall '-P 4 2'
loop_
_atom_site_label
_atom_site_type_symbol
_atom_site_fract_x
_atom_site_fract_y
_atom_site_fract_z
Tc1 Tc 0.0000 0.0000 0.0000
As1 As 0.5000 0.5000 0.5000
Se1 Se 0.0000 0.5000 0.5000
Br1 Br 0.5000 0.5000 0.0000
```

## Properties
ΔE to the lowest computed polymorph: 602 meV per atom

***

# 12
First-principles (PBE) data for a relaxed structure of TcAsSeBr2, as listed in the Alexandria database.

Cell and atoms, written as CIF:
```
data_TcAsSeBr2
_cell_length_a 5.1555
_cell_length_b 5.1555
_cell_length_c 5.2747
_cell_angle_alpha 90.00
_cell_angle_beta 90.00
_cell_angle_gamma 90.00
_space_group_name_H-M_alt 'P 4/m m m'
_space_group_IT_number 123
_space_group_name_Hall '-P 4 2'
loop_
_atom_site_label
_atom_site_type_symbol
_atom_site_fract_x
_atom_site_fract_y
_atom_site_fract_z
Tc1 Tc 0.0000 0.0000 0.0000
As1 As 0.0000 0.0000 0.5000
Se1 Se 0.5000 0.5000 0.0000
Br1 Br 0.0000 0.5000 0.5000
```

## Properties
ΔE to the lowest computed polymorph: 372 meV per atom

***

Number 1: raw formation energy 0.244 eV/atom, E_tot -22.11 eV per cell. Number 2: raw formation energy 0.280 eV/atom, E_tot -21.93 eV per cell. Number 3: raw formation energy 1.297 eV/atom, E_tot -16.85 eV per cell. Number 4: raw formation energy -1.539 eV/atom, E_tot -44.12 eV per cell. Number 5: raw formation energy -1.602 eV/atom, E_tot -136.87 eV per cell. Number 6: raw formation energy 1.558 eV/atom, E_tot -15.87 eV per cell. Number 7: raw formation energy 0.310 eV/atom, E_tot -22.11 eV per cell. Number 8: raw formation energy 0.570 eV/atom, E_tot -19.00 eV per cell. Number 9: raw formation energy 1.160 eV/atom, E_tot -16.04 eV per cell. Number 10: raw formation energy 0.549 eV/atom, E_tot -20.91 eV per cell. Number 11: raw formation energy 0.911 eV/atom, E_tot -19.10 eV per cell. Number 12: raw formation energy 0.904 eV/atom, E_tot -17.33 eV per cell.